(1)
This record from Alexandria describes TmScN after structural relaxation. The functional is PBE.

Formation energy without anion corrections   -1.148 eV per atom

Unit cell a=3.3407 b=3.3407 c=5.6146 alpha=90.00 beta=90.00 gamma=120.00
Closest atoms and distances in Å follow each position.
Space group P3m1 (No. 156)
Asymmetric unit:
Tm (0.0000, 0.0000, 0.0000)  3 N 2.36
Sc (0.3333, 0.6667, 0.4519)  3 N 2.26
N (0.6667, 0.3333, 0.2433)  3 Sc 2.26, 3 Tm 2.36


(2)
This record from Alexandria describes TmScN after structural relaxation. The functional is PBE.

Formation energy without anion corrections   -0.448 eV per atom

Unit cell a=5.7105 b=5.7105 c=5.7105 alpha=90.00 beta=90.00 gamma=90.00
Closest atoms and distances in Å follow each position.
Space group F-43m (No. 216)
Asymmetric unit:
Tm (0.0000, 0.0000, 0.0000)  4 N 2.47
Sc (0.0000, 0.0000, 0.5000)  4 N 2.47
N (0.2500, 0.2500, 0.2500)  4 Tm 2.47, 4 Sc 2.47


(3)
This record from Alexandria describes Tm2ScN after structural relaxation. The functional is PBE.

Formation energy without anion corrections   -0.680 eV per atom

Unit cell a=3.3559 b=3.3559 c=26.7626 alpha=90.00 beta=90.00 gamma=120.00
Closest atoms and distances in Å follow each position.
Space group R-3m (No. 166, hexagonal axes)
Asymmetric unit:
Tm (0.0000, 0.0000, 0.1174)  3 N 2.34
Sc (0.0000, 0.0000, 0.0000)  2 Tm 3.14, 6 Sc 3.36
N (0.0000, 0.0000, 0.5000)  6 Tm 2.34


(4)
This record from Alexandria describes Tm2Sc3N4 after structural relaxation. The functional is PBE.

Formation energy without anion corrections   -1.657 eV per atom

Unit cell a=10.8600 b=3.2795 c=8.0857 alpha=90.00 beta=118.70 gamma=90.00
Closest atoms and distances in Å follow each position.
Space group C2/m (No. 12)
Asymmetric unit:
Tm (0.1014, 0.0000, 0.3887)  4 N 2.28-2.43
Sc (0.0000, 0.5000, 0.0000)  6 N 2.32-2.33
Sc (0.2103, 0.5000, 0.8193)  5 N 2.18-2.31
N (0.1036, 0.0000, 0.9043)  5 Sc 2.18-2.32, 1 Tm 2.35
N (0.1996, 0.5000, 0.2945)  3 Tm 2.28-2.43, 3 Sc 2.31-2.33


(5)
This record from Alexandria describes Tm3ScN4 after structural relaxation. The functional is PBE.

Formation energy without anion corrections   -1.818 eV per atom

Unit cell a=4.7484 b=4.7484 c=4.7484 alpha=90.00 beta=90.00 gamma=90.00
Closest atoms and distances in Å follow each position.
Space group Pm-3m (No. 221)
Asymmetric unit:
Tm (0.0000, 0.0000, 0.5000)  6 N 2.37
Sc (0.5000, 0.5000, 0.5000)  6 N 2.37
N (0.0000, 0.0000, 0.0000)  6 Tm 2.37
N (0.0000, 0.5000, 0.5000)  4 Tm 2.37, 2 Sc 2.37


(6)
This record from Alexandria describes TmScN after structural relaxation. The functional is PBE.

Formation energy without anion corrections   -0.963 eV per atom

Unit cell a=3.5894 b=12.0958 c=5.5150 alpha=90.00 beta=90.00 gamma=90.00
Closest atoms and distances in Å follow each position.
Space group Cmc2_1 (No. 36)
Asymmetric unit:
Tm (0.0000, 0.1898, 0.0000)  3 N 2.24-2.32
Sc (0.0000, 0.4595, 0.0122)  1 N 2.02
N (0.0000, 0.3389, 0.2651)  1 Sc 2.02, 2 Tm 2.24


(7)
This record from Alexandria describes Tm2Sc2N3 after structural relaxation. The functional is PBE.

Formation energy without anion corrections   -1.612 eV per atom

Unit cell a=11.1785 b=3.3514 c=5.6997 alpha=90.00 beta=102.94 gamma=90.00
Closest atoms and distances in Å follow each position.
Space group C2/m (No. 12)
Asymmetric unit:
Tm (0.1208, 0.0000, 0.3702)  5 N 2.35-2.45
Sc (0.1396, 0.5000, 0.8593)  4 N 2.21-2.28
N (0.0000, 0.5000, 0.5000)  2 Sc 2.28, 4 Tm 2.37
N (0.2477, 0.0000, 0.7590)  3 Sc 2.21-2.26, 3 Tm 2.35-2.45


(8)
This record from Alexandria describes Tm4ScN4 after structural relaxation. The functional is PBE.

Formation energy without anion corrections   -1.617 eV per atom

Unit cell a=7.5314 b=7.5314 c=4.8128 alpha=90.00 beta=90.00 gamma=90.00
Closest atoms and distances in Å follow each position.
Space group I4/m (No. 87)
Asymmetric unit:
Tm (0.1084, 0.6914, 0.0000)  5 N 2.29-2.48
Sc (0.0000, 0.0000, 0.5000)  4 N 2.32
N (0.0966, 0.7073, 0.5000)  5 Tm 2.29-2.48, 1 Sc 2.32